Entry 1:
{
  "formula": "Rb3ReAu",
  "functional": "PBE",
  "state": "optimized geometry",
  "cell": [[-5.610, 2.791, -1.761], [-2.194, -5.749, -2.122], [-2.465, -1.235, 5.896]],
  "species": ["Re", "Au", "Rb", "Rb", "Rb"],
  "frac_coords": [[0.500, 0.500, 0.500], [0.000, 0.000, 0.000], [0.000, 0.500, 0.000], [0.000, 0.000, 0.500], [0.500, 0.000, 0.000]],
  "spacegroup": "Pm-3m",
  "final_energy_ev_per_atom": -2.486,
  "m_tot_mub_per_atom": 0.67,
  "crystal_system": "cubic",
  "formation_energy_ev_per_atom": 1.24,
  "polymorph_energy_mev_per_atom": 0,
  "mass_density_g_cm3": 3.9
}


Entry 2:
{
  "formula": "La3NdIn4",
  "functional": "PBE",
  "state": "optimized geometry",
  "cell": [[-3.084, -1.049, -1.879], [2.099, -7.060, 0.496], [-4.263, 3.222, 8.964]],
  "species": ["La", "La", "La", "Nd", "In", "In", "In", "In"],
  "frac_coords": [[0.000, 0.500, 0.000], [0.214, 0.214, 0.428], [0.786, 0.786, 0.572], [0.500, 0.000, 0.000], [0.374, 0.579, 0.747], [0.626, 0.421, 0.253], [0.627, 0.832, 0.253], [0.373, 0.168, 0.747]],
  "spacegroup": "Immm",
  "final_energy_ev_per_atom": -4.144,
  "m_tot_mub_per_atom": 0.04,
  "crystal_system": "orthorhombic",
  "formation_energy_ev_per_atom": -0.33,
  "polymorph_energy_mev_per_atom": 182,
  "mass_density_g_cm3": 6.4
}


Entry 3:
{
  "formula": "LiZn2GeS4",
  "functional": "PBE",
  "state": "optimized geometry",
  "cell": [[-1.167, 5.265, 1.162], [-4.093, -1.639, 3.316], [6.163, -1.975, 2.042]],
  "species": ["Li", "Zn", "Zn", "Ge", "S", "S", "S", "S"],
  "frac_coords": [[0.000, 0.000, 0.000], [0.750, 0.250, 0.500], [0.250, 0.750, 0.500], [0.500, 0.500, 0.000], [0.624, 0.624, 0.743], [0.376, 0.882, 0.258], [0.882, 0.376, 0.258], [0.118, 0.118, 0.743]],
  "spacegroup": "I-42m",
  "final_energy_ev_per_atom": -3.871,
  "m_tot_mub_per_atom": 0.00,
  "crystal_system": "tetragonal",
  "mass_density_g_cm3": 3.3
}


Entry 4:
{
  "formula": "Ca4AuN2",
  "functional": "PBE",
  "state": "optimized geometry",
  "cell": [[-3.193, -0.894, 1.638], [4.115, -4.756, 1.251], [3.753, 6.039, 10.612]],
  "species": ["Ca", "Ca", "Ca", "Ca", "Ca", "Ca", "Ca", "Ca", "Au", "Au", "N", "N", "N", "N"],
  "frac_coords": [[0.758, 0.516, 0.097], [0.758, 0.516, 0.403], [0.242, 0.484, 0.903], [0.242, 0.484, 0.597], [0.923, 0.847, 0.750], [0.077, 0.153, 0.250], [0.500, 0.000, 0.000], [0.500, 0.000, 0.500], [0.618, 0.235, 0.750], [0.382, 0.765, 0.250], [0.136, 0.272, 0.434], [0.864, 0.728, 0.934], [0.136, 0.272, 0.066], [0.864, 0.728, 0.566]],
  "spacegroup": "Cmcm",
  "final_energy_ev_per_atom": -4.721,
  "m_tot_mub_per_atom": 0.00,
  "crystal_system": "orthorhombic",
  "mass_density_g_cm3": 4.4
}


Entry 5:
{
  "formula": "Ga4Ni15Ir",
  "functional": "PBE",
  "state": "optimized geometry",
  "cell": [[-2.926, 1.815, 1.033], [-1.898, -3.053, -0.010], [4.345, -2.758, 17.146]],
  "species": ["Ga", "Ga", "Ga", "Ga", "Ni", "Ni", "Ni", "Ni", "Ni", "Ni", "Ni", "Ni", "Ni", "Ni", "Ni", "Ni", "Ni", "Ni", "Ni", "Ir"],
  "frac_coords": [[0.000, 0.000, 0.203], [0.000, 0.000, 0.401], [0.000, 0.000, 0.599], [0.000, 0.000, 0.797], [0.500, 0.500, 0.000], [0.500, 0.500, 0.200], [0.500, 0.500, 0.400], [0.500, 0.500, 0.600], [0.500, 0.500, 0.800], [0.500, 0.000, 0.101], [0.500, 0.000, 0.301], [0.500, 0.000, 0.500], [0.500, 0.000, 0.699], [0.500, 0.000, 0.899], [0.000, 0.500, 0.101], [0.000, 0.500, 0.301], [0.000, 0.500, 0.500], [0.000, 0.500, 0.699], [0.000, 0.500, 0.899], [0.000, 0.000, 0.000]],
  "spacegroup": "P4/mmm",
  "final_energy_ev_per_atom": -5.611,
  "m_tot_mub_per_atom": 0.21,
  "crystal_system": "tetragonal",
  "formation_energy_ev_per_atom": -0.23,
  "mass_density_g_cm3": 9.7
}


Entry 6:
{
  "formula": "K3Pa3MnS8",
  "functional": "PBE",
  "state": "optimized geometry",
  "cell": [[-5.649, -4.471, 3.303], [7.521, -2.499, -0.027], [-1.967, 6.587, 5.553]],
  "species": ["K", "K", "K", "Pa", "Pa", "Pa", "Mn", "S", "S", "S", "S", "S", "S", "S", "S"],
  "frac_coords": [[0.000, 0.000, 0.000], [0.000, 0.500, 0.000], [0.500, 0.500, 0.000], [0.500, 0.000, 0.500], [0.500, 0.500, 0.500], [0.000, 0.500, 0.500], [0.000, 0.000, 0.500], [0.264, 0.528, 0.292], [0.736, 0.472, 0.708], [0.774, 0.548, 0.307], [0.226, 0.452, 0.693], [0.774, 0.033, 0.307], [0.226, 0.967, 0.693], [0.259, 0.033, 0.307], [0.741, 0.967, 0.693]],
  "spacegroup": "R-3m",
  "final_energy_ev_per_atom": -6.311,
  "m_tot_mub_per_atom": 0.61,
  "crystal_system": "trigonal",
  "mass_density_g_cm3": 4.5
}


Entry 7:
{
  "formula": "RbBa2LiNi",
  "functional": "PBE",
  "state": "optimized geometry",
  "cell": [[-1.493, -5.757, -1.279], [1.275, 0.926, -5.657], [5.748, -1.716, 1.015]],
  "species": ["Ni", "Ba", "Ba", "Rb", "Li"],
  "frac_coords": [[0.000, 0.000, 0.000], [0.000, 0.000, 0.500], [0.500, 0.000, 0.000], [0.500, 0.500, 0.500], [0.000, 0.500, 0.000]],
  "spacegroup": "P4/mmm",
  "final_energy_ev_per_atom": -2.315,
  "m_tot_mub_per_atom": 0.00,
  "crystal_system": "tetragonal",
  "formation_energy_ev_per_atom": 0.19,
  "mass_density_g_cm3": 3.3
}


Entry 8:
{
  "formula": "LaYTh4",
  "functional": "PBE",
  "state": "optimized geometry",
  "cell": [[-0.435, -3.049, -1.862], [0.528, -1.910, 3.004], [-14.953, 0.382, 2.870]],
  "species": ["La", "Y", "Th", "Th", "Th", "Th"],
  "frac_coords": [[0.500, 0.500, 0.500], [0.000, 0.000, 0.000], [0.500, 0.500, 0.167], [0.000, 0.000, 0.673], [0.000, 0.000, 0.327], [0.500, 0.500, 0.833]],
  "spacegroup": "P4/mmm",
  "final_energy_ev_per_atom": -6.805,
  "m_tot_mub_per_atom": 0.00,
  "crystal_system": "tetragonal",
  "formation_energy_ev_per_atom": 0.04,
  "polymorph_energy_mev_per_atom": 0,
  "mass_density_g_cm3": 9.7
}


Entry 9:
{
  "formula": "Sc2IrRh",
  "functional": "PBE",
  "state": "optimized geometry",
  "cell": [[5.182, -0.016, 0.011], [4.225, 3.001, 0.011], [0.860, 0.273, 4.460]],
  "species": ["Ir", "Rh", "Sc", "Sc"],
  "frac_coords": [[0.492, 0.492, 0.581], [0.256, 0.256, 0.170], [0.994, 0.994, 0.076], [0.758, 0.758, 0.673]],
  "spacegroup": "Cm",
  "final_energy_ev_per_atom": -8.021,
  "m_tot_mub_per_atom": 0.00,
  "crystal_system": "monoclinic",
  "formation_energy_ev_per_atom": -0.80,
  "polymorph_energy_mev_per_atom": 238,
  "mass_density_g_cm3": 9.2
}


Entry 10:
{
  "formula": "ZrZn",
  "functional": "PBE",
  "state": "optimized geometry",
  "cell": [[-0.201, -4.749, -0.767], [0.690, -3.060, 3.653], [-3.693, -2.563, 1.724]],
  "species": ["Zn", "Zn", "Zr", "Zr"],
  "frac_coords": [[0.000, 0.000, 0.000], [0.250, 0.250, 0.250], [0.750, 0.750, 0.750], [0.500, 0.500, 0.500]],
  "spacegroup": "Fd-3m",
  "final_energy_ev_per_atom": -4.689,
  "m_tot_mub_per_atom": 0.82,
  "crystal_system": "cubic",
  "formation_energy_ev_per_atom": 0.22,
  "mass_density_g_cm3": 6.6
}


Entry 11:
{
  "formula": "CaSn3Rh",
  "functional": "PBE",
  "state": "optimized geometry",
  "cell": [[-1.800, 1.094, 5.818], [-0.564, -6.345, 1.019], [6.154, 2.949, 1.350]],
  "species": ["Ca", "Ca", "Sn", "Sn", "Sn", "Sn", "Sn", "Sn", "Rh", "Rh"],
  "frac_coords": [[0.250, 0.379, 0.759], [0.750, 0.621, 0.241], [0.750, 0.620, 0.767], [0.750, 0.147, 0.767], [0.250, 0.822, 0.643], [0.750, 0.178, 0.357], [0.250, 0.853, 0.233], [0.250, 0.380, 0.233], [0.000, 0.000, 0.000], [0.500, 0.000, 0.000]],
  "spacegroup": "Cmcm",
  "final_energy_ev_per_atom": -4.696,
  "m_tot_mub_per_atom": 0.00,
  "crystal_system": "orthorhombic",
  "formation_energy_ev_per_atom": -0.42,
  "mass_density_g_cm3": 6.7
}


Entry 12:
{
  "formula": "Sn2PPb",
  "functional": "PBE",
  "state": "optimized geometry",
  "cell": [[-0.594, 3.248, -1.841], [-2.439, 0.119, -2.885], [-7.431, 3.069, 3.932]],
  "species": ["Sn", "Sn", "P", "Pb"],
  "frac_coords": [[0.066, 0.066, 0.803], [0.270, 0.270, 0.190], [0.666, 0.666, 0.001], [0.498, 0.498, 0.506]],
  "spacegroup": "R3m",
  "final_energy_ev_per_atom": -4.234,
  "m_tot_mub_per_atom": 0.00,
  "crystal_system": "trigonal",
  "formation_energy_ev_per_atom": 0.05,
  "polymorph_energy_mev_per_atom": 0,
  "mass_density_g_cm3": 7.4
}


Entry 13:
{
  "formula": "ZrSc2Ta",
  "functional": "PBE",
  "state": "optimized geometry",
  "cell": [[5.482, 0.005, -0.006], [4.606, 2.973, -0.006], [0.854, 0.252, 5.356]],
  "species": ["Sc", "Sc", "Ta", "Zr"],
  "frac_coords": [[0.008, 0.008, 0.992], [0.492, 0.492, 0.508], [0.750, 0.750, 0.750], [0.250, 0.250, 0.250]],
  "spacegroup": "C2/m",
  "final_energy_ev_per_atom": -8.117,
  "m_tot_mub_per_atom": 0.00,
  "crystal_system": "monoclinic",
  "formation_energy_ev_per_atom": 0.15,
  "mass_density_g_cm3": 6.9
}


Entry 14:
{
  "formula": "Tb2U2C3",
  "functional": "PBE",
  "state": "optimized geometry",
  "cell": [[3.292, 0.000, -1.221], [-0.265, 6.098, -0.715], [0.389, -0.205, 6.095]],
  "species": ["Tb", "Tb", "U", "U", "C", "C", "C"],
  "frac_coords": [[0.869, 0.626, 0.738], [0.131, 0.374, 0.262], [0.624, 0.883, 0.247], [0.376, 0.117, 0.753], [0.000, 0.000, 0.000], [0.756, 0.214, 0.513], [0.244, 0.786, 0.487]],
  "spacegroup": "C2/m",
  "final_energy_ev_per_atom": -8.634,
  "m_tot_mub_per_atom": 0.14,
  "crystal_system": "monoclinic",
  "formation_energy_ev_per_atom": -0.13,
  "mass_density_g_cm3": 11.1
}


Entry 15:
{
  "formula": "CaNiRu",
  "functional": "PBE",
  "state": "optimized geometry",
  "cell": [[5.628, 0.029, -0.030], [4.665, 3.151, 0.074], [0.963, 0.201, 3.117]],
  "species": ["Ru", "Ca", "Ni"],
  "frac_coords": [[0.712, 0.712, 0.288], [0.999, 0.999, 0.001], [0.289, 0.289, 0.711]],
  "spacegroup": "Fmm2",
  "final_energy_ev_per_atom": -5.455,
  "m_tot_mub_per_atom": 0.36,
  "crystal_system": "orthorhombic",
  "formation_energy_ev_per_atom": 0.23,
  "polymorph_energy_mev_per_atom": 292,
  "mass_density_g_cm3": 6.1
}


Entry 16:
{
  "formula": "Te2IrC",
  "functional": "PBE",
  "state": "optimized geometry",
  "cell": [[-4.010, 2.284, 5.180], [-2.078, -1.082, 6.530], [-0.113, 2.526, 6.460]],
  "species": ["C", "Ir", "Te", "Te"],
  "frac_coords": [[0.000, 0.000, 0.000], [0.500, 0.500, 0.500], [0.100, 0.100, 0.100], [0.900, 0.900, 0.900]],
  "spacegroup": "R-3m",
  "final_energy_ev_per_atom": -5.104,
  "m_tot_mub_per_atom": 0.00,
  "crystal_system": "trigonal",
  "mass_density_g_cm3": 8.0
}


Entry 17:
{
  "formula": "TaNbZnCu2",
  "functional": "PBE",
  "state": "optimized geometry",
  "cell": [[-0.492, -1.150, 4.068], [-0.287, -4.628, -1.343], [4.220, -0.379, 0.403]],
  "species": ["Nb", "Zn", "Cu", "Cu", "Ta"],
  "frac_coords": [[0.000, 0.500, 0.000], [0.000, 0.000, 0.000], [0.000, 0.000, 0.500], [0.500, 0.000, 0.000], [0.500, 0.500, 0.500]],
  "spacegroup": "P4/mmm",
  "final_energy_ev_per_atom": -5.338,
  "m_tot_mub_per_atom": 0.00,
  "crystal_system": "tetragonal",
  "formation_energy_ev_per_atom": 0.94,
  "mass_density_g_cm3": 8.9
}


Entry 18:
{
  "formula": "AgPtPb2",
  "functional": "PBE",
  "state": "optimized geometry",
  "cell": [[-2.784, 1.196, 8.107], [-4.861, -1.596, 6.980], [-1.481, -2.220, 8.233]],
  "species": ["Pb", "Pb", "Ag", "Pt"],
  "frac_coords": [[0.992, 0.992, 0.992], [0.508, 0.508, 0.508], [0.750, 0.750, 0.750], [0.250, 0.250, 0.250]],
  "spacegroup": "R-3m",
  "final_energy_ev_per_atom": -4.036,
  "m_tot_mub_per_atom": 0.00,
  "crystal_system": "trigonal",
  "formation_energy_ev_per_atom": 0.04,
  "polymorph_energy_mev_per_atom": 78,
  "mass_density_g_cm3": 12.3
}


Entry 19:
{
  "formula": "BaHg11",
  "functional": "PBE",
  "state": "optimized geometry",
  "cell": [[-5.920, -3.988, 2.624], [2.973, -9.061, 3.957], [-1.909, 2.112, 9.925]],
  "species": ["Ba", "Ba", "Hg", "Hg", "Hg", "Hg", "Hg", "Hg", "Hg", "Hg", "Hg", "Hg", "Hg", "Hg", "Hg", "Hg", "Hg", "Hg", "Hg", "Hg", "Hg", "Hg", "Hg", "Hg"],
  "frac_coords": [[0.500, 0.000, 0.000], [0.250, 0.500, 0.500], [0.409, 0.803, 0.439], [0.651, 0.197, 0.561], [0.000, 0.000, 0.000], [0.750, 0.500, 0.500], [0.375, 0.750, 0.750], [0.875, 0.750, 0.250], [0.875, 0.250, 0.750], [0.875, 0.250, 0.250], [0.409, 0.439, 0.803], [0.962, 0.697, 0.939], [0.598, 0.303, 0.061], [0.651, 0.561, 0.197], [0.788, 0.561, 0.803], [0.152, 0.439, 0.197], [0.099, 0.303, 0.939], [0.341, 0.697, 0.061], [0.341, 0.061, 0.697], [0.788, 0.803, 0.561], [0.152, 0.197, 0.439], [0.099, 0.939, 0.303], [0.962, 0.939, 0.697], [0.598, 0.061, 0.303]],
  "spacegroup": "I4_1/amd",
  "final_energy_ev_per_atom": -0.561,
  "m_tot_mub_per_atom": 0.00,
  "crystal_system": "tetragonal",
  "formation_energy_ev_per_atom": -0.12,
  "polymorph_energy_mev_per_atom": 32,
  "mass_density_g_cm3": 11.1
}


Entry 20:
{
  "formula": "Ta3BeH",
  "functional": "PBE",
  "state": "optimized geometry",
  "cell": [[-0.292, 4.071, -0.038], [-3.351, -0.262, -2.316], [-2.313, -0.134, 3.361]],
  "species": ["Be", "H", "Ta", "Ta", "Ta"],
  "frac_coords": [[0.500, 0.500, 0.500], [0.000, 0.000, 0.000], [0.000, 0.500, 0.000], [0.000, 0.000, 0.500], [0.500, 0.000, 0.000]],
  "spacegroup": "Pm-3m",
  "final_energy_ev_per_atom": -8.421,
  "m_tot_mub_per_atom": 0.00,
  "crystal_system": "cubic",
  "polymorph_energy_mev_per_atom": 0,
  "mass_density_g_cm3": 13.5
}